DFT (PBE with a Hubbard U) results for V6O13 after structural relaxation.

a = 11.697 Å, b = 10.207 Å, c = 6.302 Å
α = 86.84°, β = 60.62°, γ = 32.54°
Fractional coordinates of all 19 atoms:
V1 0.036 0.331 0.669
V2 0.149 0.851 0.149
V3 0.331 0.036 0.964
V4 0.669 0.964 0.036
V5 0.851 0.149 0.851
V6 0.964 0.669 0.331
O1 0.000 0.000 0.000
O2 0.053 0.748 0.252
O3 0.120 0.474 0.526
O4 0.198 0.198 0.802
O5 0.252 0.947 0.053
O6 0.320 0.680 0.320
O7 0.474 0.120 0.880
O8 0.526 0.880 0.120
O9 0.680 0.320 0.680
O10 0.748 0.053 0.947
O11 0.802 0.802 0.198
O12 0.880 0.526 0.474
O13 0.947 0.252 0.748

Output
E	-144.9	eV/cell
space-group type	Fmmm